# 1
The following is a GGA-PBE calculation of a relaxed PrBNO crystal, from OQMD.

Cell lengths 4.974, 3.743, 5.209 Å; angles 90.00, 90.00, 90.00 degrees
Space group Pmma (No. 51)
Unique sites:
Pr: 0.250 0.000 0.240 (multiplicity 2)
B: 0.250 0.500 0.644 (multiplicity 2)
N: 0.000 0.500 0.500 (multiplicity 2)
O: 0.250 0.000 0.790 (multiplicity 2)

***

# 2
The following is a GGA-PBE calculation of a relaxed PrBNO crystal, from OQMD.

Cell lengths 3.655, 3.655, 7.509 Å; angles 90.00, 90.00, 90.00 degrees
Space group P4/nmm (No. 129, origin choice 2)
Unique sites:
Pr: 0.250 0.250 0.180 (multiplicity 2)
B: 0.250 0.750 0.500 (multiplicity 2)
N: 0.250 0.250 0.519 (multiplicity 2)
O: 0.250 0.750 0.000 (multiplicity 2)

***

# 3
The following is a GGA-PBE calculation of a relaxed PrBNO crystal, from OQMD.

Cell lengths 5.042, 8.062, 4.616 Å; angles 90.00, 90.00, 90.00 degrees
Space group Pca2_1 (No. 29)
Unique sites:
Pr: 0.002 0.183 0.000 (multiplicity 4)
B: 0.128 0.498 0.719 (multiplicity 4)
N: 0.120 0.498 0.390 (multiplicity 4)
O: 0.000 0.120 0.501 (multiplicity 4)

***

# 4
The following is a GGA-PBE calculation of a relaxed BPtNO crystal, from OQMD.

Cell lengths 2.616, 5.640, 4.997 Å; angles 90.00, 90.00, 90.00 degrees
Space group Pmc2_1 (No. 26)
Unique sites:
B: 0.000 0.101 0.000 (multiplicity 2)
Pt: 0.500 0.388 0.582 (multiplicity 2)
N: 0.000 0.125 0.674 (multiplicity 2)
O: 0.500 0.214 0.084 (multiplicity 2)

***

# 5
The following is a GGA-PBE calculation of a relaxed BPtNO crystal, from OQMD.

Cell lengths 3.514, 3.514, 6.787 Å; angles 90.00, 90.00, 90.00 degrees
Space group P4/nmm (No. 129, origin choice 2)
Unique sites:
B: 0.250 0.250 0.085 (multiplicity 2)
Pt: 0.250 0.750 0.500 (multiplicity 2)
N: 0.250 0.250 0.299 (multiplicity 2)
O: 0.250 0.750 0.000 (multiplicity 2)

***

# 6
The following is a GGA-PBE calculation of a relaxed BPtNO crystal, from OQMD.

Cell lengths 3.272, 3.272, 7.642 Å; angles 90.00, 90.00, 90.00 degrees
Space group P4/nmm (No. 129, origin choice 2)
Unique sites:
B: 0.250 0.750 0.000 (multiplicity 2)
Pt: 0.250 0.250 0.314 (multiplicity 2)
N: 0.250 0.250 0.041 (multiplicity 2)
O: 0.250 0.750 0.500 (multiplicity 2)

***

# 7
The following is a GGA-PBE calculation of a relaxed BPtNO crystal, from OQMD.

Cell lengths 2.703, 5.796, 4.700 Å; angles 90.00, 90.00, 90.00 degrees
Space group Pmc2_1 (No. 26)
Unique sites:
B: 0.000 0.117 0.000 (multiplicity 2)
Pt: 0.500 0.416 0.555 (multiplicity 2)
N: 0.500 0.248 0.927 (multiplicity 2)
O: 0.000 0.085 0.316 (multiplicity 2)

***

# 8
The following is a GGA-PBE calculation of a relaxed ReBNO crystal, from OQMD.

Cell lengths 2.667, 5.630, 4.597 Å; angles 90.00, 90.00, 90.00 degrees
Space group Pmc2_1 (No. 26)
Unique sites:
Re: 0.000 0.098 0.000 (multiplicity 2)
B: 0.500 0.399 0.443 (multiplicity 2)
N: 0.500 0.370 0.107 (multiplicity 2)
O: 0.000 0.275 0.552 (multiplicity 2)

***

# 9
The following is a GGA-PBE calculation of a relaxed ReBNO crystal, from OQMD.

Cell lengths 5.260, 6.857, 4.559 Å; angles 90.00, 90.00, 90.00 degrees
Space group Pca2_1 (No. 29)
Unique sites:
Re: 0.107 0.051 0.000 (multiplicity 4)
B: 0.017 0.406 0.539 (multiplicity 4)
N: 0.066 0.209 0.628 (multiplicity 4)
O: 0.015 0.560 0.738 (multiplicity 4)

***

# 10
The following is a GGA-PBE calculation of a relaxed ReBNO crystal, from OQMD.

Cell lengths 3.456, 3.456, 6.578 Å; angles 90.00, 90.00, 90.00 degrees
Space group P4/nmm (No. 129, origin choice 2)
Unique sites:
Re: 0.250 0.750 0.000 (multiplicity 2)
B: 0.250 0.250 0.415 (multiplicity 2)
N: 0.250 0.250 0.189 (multiplicity 2)
O: 0.250 0.750 0.500 (multiplicity 2)

***

# 11
The following is a GGA-PBE calculation of a relaxed ReBNO crystal, from OQMD.

Cell lengths 3.505, 3.505, 6.116 Å; angles 90.00, 90.00, 90.00 degrees
Space group P4/nmm (No. 129, origin choice 2)
Unique sites:
Re: 0.250 0.750 0.000 (multiplicity 2)
B: 0.250 0.250 0.427 (multiplicity 2)
N: 0.250 0.250 0.189 (multiplicity 2)
O: 0.250 0.750 0.500 (multiplicity 2)

***

# 12
The following is a GGA-PBE calculation of a relaxed ReBNO crystal, from OQMD.

Cell lengths 4.774, 6.397, 4.521 Å; angles 90.00, 90.00, 90.00 degrees
Space group Pca2_1 (No. 29)
Unique sites:
Re: 0.065 0.083 0.000 (multiplicity 4)
B: 0.105 0.579 0.978 (multiplicity 4)
N: 0.091 0.592 0.618 (multiplicity 4)
O: 0.035 0.224 0.587 (multiplicity 4)

***

Number 1: uncorrected energy -7.532 eV per atom, relative energy among the computed polymorphs 47.9 kJ per mole of atoms, total moment 0.0047 μB/atom. Number 2: uncorrected energy -7.047 eV per atom, relative energy among the computed polymorphs 94.8 kJ per mole of atoms, total moment 0.0316 μB/atom. Number 3: uncorrected energy -8.029 eV per atom, relative energy among the computed polymorphs 0.0 kJ per mole of atoms, total moment 0.0002 μB/atom. Number 4: uncorrected energy -6.963 eV per atom, relative energy among the computed polymorphs 16.6 kJ per mole of atoms, total moment 0.0001 μB/atom. Number 5: uncorrected energy -6.131 eV per atom, relative energy among the computed polymorphs 96.9 kJ per mole of atoms, total moment 0.0789 μB/atom. Number 6: uncorrected energy -5.767 eV per atom, relative energy among the computed polymorphs 132.0 kJ per mole of atoms, total moment 0.2588 μB/atom. Number 7: uncorrected energy -7.135 eV per atom, relative energy among the computed polymorphs 0.0 kJ per mole of atoms, total moment 0.0005 μB/atom. Number 8: uncorrected energy -8.773 eV per atom, relative energy among the computed polymorphs 16.0 kJ per mole of atoms, total moment 0.0015 μB/atom. Number 9: uncorrected energy -8.939 eV per atom, relative energy among the computed polymorphs 0.0 kJ per mole of atoms, total moment 0.0017 μB/atom. Number 10: uncorrected energy -8.075 eV per atom, relative energy among the computed polymorphs 83.3 kJ per mole of atoms, total moment 0.0191 μB/atom. Number 11: uncorrected energy -8.026 eV per atom, relative energy among the computed polymorphs 88.0 kJ per mole of atoms, total moment 0.0021 μB/atom. Number 12: uncorrected energy -8.831 eV per atom, relative energy among the computed polymorphs 10.4 kJ per mole of atoms, total moment 0.0002 μB/atom.